An optimized crystal structure of BiMoN2O. Source: Alexandria via LeMat-Bulk, functional GGA+U.

Calculated values
total magnetization = 2.75 μB per formula unit
symmetry = P4/mmm, No. 123
energy = -5.280 eV/atom
density of states at the Fermi level = 1.71 states/eV/cell

Lattice parameters (Å, degrees): 4.335 4.335 4.151 90.00 90.00 90.00
Fractional coordinates of all 5 atoms:
Bi 0.000 0.000 0.000
Mo 0.500 0.500 0.500
N 0.000 0.500 0.000
N 0.500 0.000 0.000
O 0.000 0.000 0.500